# PBE Tm2Tl3SbS6, relaxed
data_Tm2Tl3SbS6
_cell_length_a 6.940
_cell_length_b 12.021
_cell_length_c 7.831
_cell_angle_alpha 90.00
_cell_angle_beta 107.16
_cell_angle_gamma 90.00
_symmetry_space_group_name_H-M 'C 1 2/m 1'
_symmetry_Int_Tables_number 12
loop_
_symmetry_equiv_pos_as_xyz
'x,y,z'
'-x,-y,-z'
'-x,y,-z'
'x,-y,z'
'x+1/2,y+1/2,z'
'-x+1/2,-y+1/2,-z'
'-x+1/2,y+1/2,-z'
'x+1/2,-y+1/2,z'
loop_
_atom_site_label
_atom_site_type_symbol
_atom_site_fract_x
_atom_site_fract_y
_atom_site_fract_z
_atom_site_occupancy
Tm1 Tm 0.000 0.167 0.000 1
Tl1 Tl 0.000 0.000 0.500 1
Tl2 Tl 0.000 0.334 0.500 1
Sb1 Sb 0.000 0.500 0.000 1
S1 S 0.227 0.000 0.197 1
S2 S 0.235 0.331 0.197 1
# ρ ... 6.7 g/cm³
# Uncorrected formation energy ... -1.10 eV/atom
# Spin magnetization ... 0.00 Bohr magnetons per cell